VASP calculation (PBE-GGA) on an optimized crystal structure of YHoB12.

Output
electronic total energy: -96.65 eV per cell
ΔE_f: -391 meV per atom
Fermi-level density of states: 0.111 states/eV/atom

Cell and atoms, written as CIF:
```
data_YHoB12
_cell_length_a 4.095
_cell_length_b 4.095
_cell_length_c 8.195
_cell_angle_alpha 90.00
_cell_angle_beta 90.00
_cell_angle_gamma 90.00
_space_group_name_H-M_alt 'P 4/m m m'
_space_group_IT_number 123
_space_group_name_Hall '-P 4 2'
loop_
_atom_site_label
_atom_site_type_symbol
_atom_site_fract_x
_atom_site_fract_y
_atom_site_fract_z
Y1 Y 0.000 0.000 0.000
Ho1 Ho 0.000 0.000 0.500
B1 B 0.199 0.500 0.251
B2 B 0.500 0.500 0.100
B3 B 0.500 0.500 0.401
```

---

VASP calculation (PBE-GGA) on an optimized crystal structure of Ca4SbSe5.

Output
electronic total energy: -90.07 eV per cell
Fermi-level density of states: 0.350 states/eV/atom

Cell and atoms, written as CIF:
```
data_Ca4SbSe5
_cell_length_a 9.371
_cell_length_b 9.371
_cell_length_c 6.113
_cell_angle_alpha 90.00
_cell_angle_beta 90.00
_cell_angle_gamma 90.00
_space_group_name_H-M_alt 'I 4/m'
_space_group_IT_number 87
_space_group_name_Hall '-I 4'
loop_
_atom_site_label
_atom_site_type_symbol
_atom_site_fract_x
_atom_site_fract_y
_atom_site_fract_z
Ca1 Ca 0.101 0.703 0.000
Sb1 Sb 0.000 0.000 0.500
Se1 Se 0.000 0.000 0.000
Se2 Se 0.098 0.702 0.500
```

---

VASP calculation (PBE-GGA) on an optimized crystal structure of Zn3Ga2Cu8.

Output
energy above the most stable polymorph in this dataset: 0.000 eV per atom
electronic total energy: -42.93 eV per cell
ΔE_f: -22 meV per atom
Fermi-level density of states: 0.263 states/eV/atom

Cell and atoms, written as CIF:
```
data_Zn3Ga2Cu8
_cell_length_a 8.458
_cell_length_b 2.631
_cell_length_c 8.846
_cell_angle_alpha 90.00
_cell_angle_beta 118.40
_cell_angle_gamma 90.00
_space_group_name_H-M_alt 'P 1 2/m 1'
_space_group_IT_number 10
loop_
_space_group_symop_operation_xyz
'x,y,z'
'-x,-y,-z'
'-x,y,-z'
'x,-y,z'
loop_
_atom_site_label
_atom_site_type_symbol
_atom_site_fract_x
_atom_site_fract_y
_atom_site_fract_z
Zn1 Zn 0.000 0.000 0.000
Zn2 Zn 0.299 0.500 0.229
Ga1 Ga 0.173 0.000 0.633
Cu1 Cu 0.088 0.000 0.313
Cu2 Cu 0.225 0.500 0.904
Cu3 Cu 0.375 0.500 0.545
Cu4 Cu 0.496 0.000 0.859
```

---

VASP calculation (PBE-GGA) on an optimized crystal structure of CoAs2Pt.

Output
energy above the most stable polymorph in this dataset: 0.284 eV per atom
electronic total energy: -44.74 eV per cell
ΔE_f: 19 meV per atom
Fermi-level density of states: 0.734 states/eV/atom

Cell and atoms, written as CIF:
```
data_CoAs2Pt
_cell_length_a 7.727
_cell_length_b 3.046
_cell_length_c 5.340
_cell_angle_alpha 90.00
_cell_angle_beta 103.13
_cell_angle_gamma 90.00
_space_group_name_H-M_alt 'C 1 2/m 1'
_space_group_IT_number 12
loop_
_space_group_symop_operation_xyz
'x,y,z'
'-x,-y,-z'
'-x,y,-z'
'x,-y,z'
'x+1/2,y+1/2,z'
'-x+1/2,-y+1/2,-z'
'-x+1/2,y+1/2,-z'
'x+1/2,-y+1/2,z'
loop_
_atom_site_label
_atom_site_type_symbol
_atom_site_fract_x
_atom_site_fract_y
_atom_site_fract_z
Co1 Co 0.000 0.000 0.000
As1 As 0.240 0.500 0.226
Pt1 Pt 0.000 0.500 0.500
```

---

VASP calculation (PBE-GGA) on an optimized crystal structure of ZnCuNi2.

Output
electronic total energy: -68.80 eV per cell
ΔE_f: -67 meV per atom
Fermi-level density of states: 1.190 states/eV/atom

Cell and atoms, written as CIF:
```
data_ZnCuNi2
_cell_length_a 5.726
_cell_length_b 5.726
_cell_length_c 5.726
_cell_angle_alpha 90.00
_cell_angle_beta 90.00
_cell_angle_gamma 90.00
_space_group_name_H-M_alt 'F -4 3 m'
_space_group_IT_number 216
_space_group_name_Hall 'F -4 2 3'
loop_
_atom_site_label
_atom_site_type_symbol
_atom_site_fract_x
_atom_site_fract_y
_atom_site_fract_z
Zn1 Zn 0.000 0.000 0.000
Cu1 Cu 0.250 0.250 0.750
Ni1 Ni 0.000 0.000 0.500
Ni2 Ni 0.250 0.250 0.250
```

---

VASP calculation (PBE-GGA) on an optimized crystal structure of LiSn5Au4.

Output
energy above the most stable polymorph in this dataset: 0.017 eV per atom
electronic total energy: -73.76 eV per cell
ΔE_f: -184 meV per atom
Fermi-level density of states: 0.302 states/eV/atom

Cell and atoms, written as CIF:
```
data_LiSn5Au4
_cell_length_a 17.867
_cell_length_b 4.419
_cell_length_c 6.422
_cell_angle_alpha 90.00
_cell_angle_beta 109.51
_cell_angle_gamma 90.00
_space_group_name_H-M_alt 'C 1 2/m 1'
_space_group_IT_number 12
loop_
_space_group_symop_operation_xyz
'x,y,z'
'-x,-y,-z'
'-x,y,-z'
'x,-y,z'
'x+1/2,y+1/2,z'
'-x+1/2,-y+1/2,-z'
'-x+1/2,y+1/2,-z'
'x+1/2,-y+1/2,z'
loop_
_atom_site_label
_atom_site_type_symbol
_atom_site_fract_x
_atom_site_fract_y
_atom_site_fract_z
Li1 Li 0.000 0.000 0.000
Sn1 Sn 0.000 0.000 0.500
Sn2 Sn 0.144 0.500 0.068
Sn3 Sn 0.198 0.500 0.656
Au1 Au 0.011 0.500 0.245
Au2 Au 0.143 0.000 0.361
```

---

VASP calculation (PBE-GGA) on an optimized crystal structure of CsGe2C.

Output
electronic total energy: -62.69 eV per cell
ΔE_f: 910 meV per atom
Fermi-level density of states: 0.655 states/eV/atom

Cell and atoms, written as CIF:
```
data_CsGe2C
_cell_length_a 6.731
_cell_length_b 6.731
_cell_length_c 9.501
_cell_angle_alpha 90.00
_cell_angle_beta 90.00
_cell_angle_gamma 90.00
_space_group_name_H-M_alt 'I -4 2 d'
_space_group_IT_number 122
_space_group_name_Hall 'I -4 2bw'
loop_
_atom_site_label
_atom_site_type_symbol
_atom_site_fract_x
_atom_site_fract_y
_atom_site_fract_z
Cs1 Cs 0.000 0.000 0.000
Ge1 Ge 0.084 0.750 0.625
C1 C 0.000 0.000 0.500
```

---

VASP calculation (PBE-GGA) on an optimized crystal structure of Ac2SnN.

Output
energy above the most stable polymorph in this dataset: 0.000 eV per atom
electronic total energy: -48.01 eV per cell
Fermi-level density of states: 0.848 states/eV/atom

Cell and atoms, written as CIF:
```
data_Ac2SnN
_cell_length_a 5.037
_cell_length_b 5.037
_cell_length_c 9.689
_cell_angle_alpha 90.00
_cell_angle_beta 90.00
_cell_angle_gamma 90.00
_space_group_name_H-M_alt 'P 4/n m m'
_space_group_IT_number 129
loop_
_space_group_symop_operation_xyz
'x,y,z'
'-x,-y,-z'
'-y+1/2,x,z'
'y+1/2,-x,-z'
'-x+1/2,-y+1/2,z'
'x+1/2,y+1/2,-z'
'y,-x+1/2,z'
'-y,x+1/2,-z'
'x+1/2,-y,-z'
'-x+1/2,y,z'
'-y,-x,-z'
'y,x,z'
'-x,y+1/2,-z'
'x,-y+1/2,z'
'y+1/2,x+1/2,-z'
'-y+1/2,-x+1/2,z'
loop_
_atom_site_label
_atom_site_type_symbol
_atom_site_fract_x
_atom_site_fract_y
_atom_site_fract_z
Ac1 Ac 0.250 0.250 0.167
Ac2 Ac 0.250 0.750 0.500
Sn1 Sn 0.250 0.250 0.795
N1 N 0.250 0.250 0.414
```

---

VASP calculation (PBE-GGA) on an optimized crystal structure of La2Zn5Au12.

Output
electronic total energy: -188.05 eV per cell
ΔE_f: -375 meV per atom
Fermi-level density of states: 0.464 states/eV/atom

Cell and atoms, written as CIF:
```
data_La2Zn5Au12
_cell_length_a 9.4422
_cell_length_b 9.4422
_cell_length_c 14.2891
_cell_angle_alpha 90.00
_cell_angle_beta 90.00
_cell_angle_gamma 120.00
_space_group_name_H-M_alt 'R -3 m'
_space_group_IT_number 166
_space_group_name_Hall '-R 3 2"'
loop_
_atom_site_label
_atom_site_type_symbol
_atom_site_fract_x
_atom_site_fract_y
_atom_site_fract_z
La1 La 0.0000 0.0000 0.1482
Zn1 Zn 0.0000 0.0000 0.4032
Zn2 Zn 0.0000 0.5000 0.0000
Au1 Au 0.0000 0.3032 0.5000
Au2 Au 0.0158 0.5079 0.3487
```

---

VASP calculation (PBE-GGA) on an optimized crystal structure of CaBeSi.

Output
electronic total energy: -12.13 eV per cell
Fermi-level density of states: 0.393 states/eV/atom

Cell and atoms, written as CIF:
```
data_CaBeSi
_cell_length_a 3.9069
_cell_length_b 3.9069
_cell_length_c 4.3293
_cell_angle_alpha 90.00
_cell_angle_beta 90.00
_cell_angle_gamma 120.00
_space_group_name_H-M_alt 'P -6 m 2'
_space_group_IT_number 187
_space_group_name_Hall 'P -6 2'
loop_
_atom_site_label
_atom_site_type_symbol
_atom_site_fract_x
_atom_site_fract_y
_atom_site_fract_z
Ca1 Ca 0.0000 0.0000 0.0000
Be1 Be 0.6667 0.3333 0.5000
Si1 Si 0.3333 0.6667 0.5000
```

---

VASP calculation (PBE-GGA) on an optimized crystal structure of NdSmGeI.

Output
electronic total energy: -59.00 eV per cell
Fermi-level density of states: 0.677 states/eV/atom

Cell and atoms, written as CIF:
```
data_NdSmGeI
_cell_length_a 4.2913
_cell_length_b 4.2913
_cell_length_c 23.3934
_cell_angle_alpha 90.00
_cell_angle_beta 90.00
_cell_angle_gamma 120.00
_space_group_name_H-M_alt 'R 3 m'
_space_group_IT_number 160
_space_group_name_Hall 'R 3 -2"'
loop_
_atom_site_label
_atom_site_type_symbol
_atom_site_fract_x
_atom_site_fract_y
_atom_site_fract_z
Nd1 Nd 0.0000 0.0000 0.0000
Sm1 Sm 0.0000 0.0000 0.7991
Ge1 Ge 0.0000 0.0000 0.4021
I1 I 0.0000 0.0000 0.2304
```

---

VASP calculation (PBE-GGA) on an optimized crystal structure of HgTePN2.

Output
energy above the most stable polymorph in this dataset: 0.843 eV per atom
electronic total energy: -15.25 eV per cell
Fermi-level density of states: 0.699 states/eV/atom

Cell and atoms, written as CIF:
```
data_HgTePN2
_cell_length_a 4.159
_cell_length_b 4.159
_cell_length_c 7.017
_cell_angle_alpha 90.00
_cell_angle_beta 90.00
_cell_angle_gamma 90.00
_space_group_name_H-M_alt 'P 4/m m m'
_space_group_IT_number 123
_space_group_name_Hall '-P 4 2'
loop_
_atom_site_label
_atom_site_type_symbol
_atom_site_fract_x
_atom_site_fract_y
_atom_site_fract_z
Hg1 Hg 0.000 0.000 0.000
Te1 Te 0.000 0.000 0.500
P1 P 0.500 0.500 0.500
N1 N 0.000 0.500 0.000
```

---

VASP calculation (PBE-GGA) on an optimized crystal structure of LiBi2RuO6.

Output
electronic total energy: -183.29 eV per cell
Fermi-level density of states: 0.295 states/eV/atom

Cell and atoms, written as CIF:
```
data_LiBi2RuO6
_cell_length_a 5.6569
_cell_length_b 5.6569
_cell_length_c 14.2137
_cell_angle_alpha 90.00
_cell_angle_beta 90.00
_cell_angle_gamma 120.00
_space_group_name_H-M_alt 'R 3'
_space_group_IT_number 146
_space_group_name_Hall 'R 3'
loop_
_atom_site_label
_atom_site_type_symbol
_atom_site_fract_x
_atom_site_fract_y
_atom_site_fract_z
Li1 Li 0.0000 0.0000 0.0000
Bi1 Bi 0.0000 0.0000 0.2689
Bi2 Bi 0.0000 0.0000 0.7719
Ru1 Ru 0.0000 0.0000 0.4822
O1 O 0.0024 0.4174 0.2195
O2 O 0.0908 0.7230 0.0581
```

---

VASP calculation (PBE-GGA) on an optimized crystal structure of NiBSbI2.

Output
energy above the most stable polymorph in this dataset: 0.000 eV per atom
electronic total energy: -13.99 eV per cell
Fermi-level density of states: 0.726 states/eV/atom

Cell and atoms, written as CIF:
```
data_NiBSbI2
_cell_length_a 5.385
_cell_length_b 5.385
_cell_length_c 4.836
_cell_angle_alpha 90.00
_cell_angle_beta 90.00
_cell_angle_gamma 90.00
_space_group_name_H-M_alt 'P 4/m m m'
_space_group_IT_number 123
_space_group_name_Hall '-P 4 2'
loop_
_atom_site_label
_atom_site_type_symbol
_atom_site_fract_x
_atom_site_fract_y
_atom_site_fract_z
Ni1 Ni 0.000 0.000 0.000
B1 B 0.500 0.500 0.500
Sb1 Sb 0.000 0.000 0.500
I1 I 0.000 0.500 0.000
```

---

VASP calculation (PBE-GGA) on an optimized crystal structure of AlAs2Os.

Output
electronic total energy: -23.84 eV per cell
ΔE_f: 107 meV per atom
Fermi-level density of states: 0.704 states/eV/atom

Cell and atoms, written as CIF:
```
data_AlAs2Os
_cell_length_a 3.108
_cell_length_b 4.043
_cell_length_c 5.953
_cell_angle_alpha 90.00
_cell_angle_beta 90.28
_cell_angle_gamma 90.00
_space_group_name_H-M_alt 'P 1 m 1'
_space_group_IT_number 6
loop_
_space_group_symop_operation_xyz
'x,y,z'
'x,-y,z'
loop_
_atom_site_label
_atom_site_type_symbol
_atom_site_fract_x
_atom_site_fract_y
_atom_site_fract_z
Al1 Al 0.000 0.000 0.000
As1 As 0.504 0.000 0.356
As2 As 0.997 0.500 0.705
Os1 Os 0.500 0.500 0.037
```